Record 1
A plane-wave DFT calculation with PBE-GGA was carried out for a relaxed Pm8Pt3CI4 crystal.

The structure belongs to space group R-3m (No. 166, hexagonal axes); the cell edges are 8.3785, 8.3785 and 23.8186 Å and the angles 90.00°, 90.00° and 120.00°. The distinct sites, in fractional coordinates, are Pm at (0.0000, 0.0000, 0.2290), Pm at (0.0228, 0.5114, 0.2259), Pt at (0.0000, 0.5000, 0.5000), C at (0.0000, 0.0000, 0.5000), I at (0.0000, 0.0000, 0.0000) and I at (0.0000, 0.5000, 0.0000).

For the raw total energy, the calculation gives -260.8 eV per cell. The calculation puts the formation energy (no corrections) at -0.9614 eV/atom.

Record 2
A plane-wave DFT calculation with PBE-GGA was carried out for a relaxed Pm8Pt3CI3 crystal.

The structure belongs to space group C2/m (No. 12); the cell edges are 14.456, 8.351 and 9.284 Å and the angles 90.00°, 121.35° and 90.00°. The distinct sites, in fractional coordinates, are Pm at (0.017, 0.227, 0.323), Pm at (0.211, 0.000, 0.678), Pm at (0.229, 0.500, 0.687), Pt at (0.000, 0.500, 0.500), Pt at (0.250, 0.250, 0.500), C at (0.000, 0.000, 0.500), I at (0.000, 0.000, 0.000) and I at (0.250, 0.250, 0.000).

For the raw total energy, the calculation gives -165.4 eV per cell. The calculation puts the formation energy (no corrections) at -0.8453 eV/atom.

Record 3
A plane-wave DFT calculation with PBE-GGA was carried out for a relaxed Pm6Pt2CI3 crystal.

The structure belongs to space group C2/m (No. 12); the cell edges are 7.178, 12.395 and 8.228 Å and the angles 90.00°, 106.61° and 90.00°. The distinct sites, in fractional coordinates, are Pm at (0.212, 0.152, 0.181), Pm at (0.245, 0.000, 0.817), Pt at (0.000, 0.334, 0.000), C at (0.000, 0.000, 0.000), I at (0.000, 0.167, 0.500) and I at (0.000, 0.500, 0.500).

For the raw total energy, the calculation gives -131.2 eV per cell. The calculation puts the formation energy (no corrections) at -0.9290 eV/atom.

Record 4
A plane-wave DFT calculation with PBE-GGA was carried out for a relaxed PmPuCI crystal.

The structure belongs to space group R3m (No. 160, hexagonal axes); the cell edges are 3.7817, 3.7817 and 23.2077 Å and the angles 90.00°, 90.00° and 120.00°. The distinct sites, in fractional coordinates, are Pm at (0.0000, 0.0000, 0.0000), Pu at (0.0000, 0.0000, 0.7827), C at (0.0000, 0.0000, 0.3944) and I at (0.0000, 0.0000, 0.2243).

For the raw total energy, the calculation gives -95.8 eV per cell. The calculation puts the formation energy (no corrections) at -0.5196 eV/atom.

Record 5
A plane-wave DFT calculation with PBE-GGA was carried out for a relaxed Pm6Rh2CI3 crystal.

The structure belongs to space group C2/m (No. 12); the cell edges are 7.108, 12.291 and 8.274 Å and the angles 90.00°, 106.45° and 90.00°. The distinct sites, in fractional coordinates, are Pm at (0.213, 0.155, 0.177), Pm at (0.247, 0.500, 0.177), Rh at (0.000, 0.333, 0.000), C at (0.000, 0.000, 0.000), I at (0.000, 0.166, 0.500) and I at (0.000, 0.500, 0.500).

For the raw total energy, the calculation gives -133.7 eV per cell. The calculation puts the formation energy (no corrections) at -0.8129 eV/atom.

Record 6
A plane-wave DFT calculation with PBE-GGA was carried out for a relaxed Pm6Ru2CI3 crystal.

The structure belongs to space group C2/m (No. 12); the cell edges are 7.071, 12.223 and 8.296 Å and the angles 90.00°, 106.53° and 90.00°. The distinct sites, in fractional coordinates, are Pm at (0.215, 0.157, 0.177), Pm at (0.245, 0.500, 0.177), Ru at (0.000, 0.333, 0.000), C at (0.000, 0.000, 0.000), I at (0.000, 0.168, 0.500) and I at (0.000, 0.500, 0.500).

For the raw total energy, the calculation gives -137.2 eV per cell. The calculation puts the formation energy (no corrections) at -0.6382 eV/atom.

Record 7
A plane-wave DFT calculation with PBE-GGA was carried out for a relaxed Pm8Ru3CI3 crystal.

The structure belongs to space group R-3m (No. 166, hexagonal axes); the cell edges are 8.1373, 8.1373 and 24.4264 Å and the angles 90.00°, 90.00° and 120.00°. The distinct sites, in fractional coordinates, are Pm at (0.0000, 0.0000, 0.2310), Pm at (0.0189, 0.5094, 0.2230), Ru at (0.0000, 0.5000, 0.5000), C at (0.0000, 0.0000, 0.5000) and I at (0.0000, 0.5000, 0.0000).

For the raw total energy, the calculation gives -261.9 eV per cell. The calculation puts the formation energy (no corrections) at -0.5055 eV/atom.

Record 8
A plane-wave DFT calculation with PBE-GGA was carried out for a relaxed Pm6C2SI3 crystal.

The structure belongs to space group C2/m (No. 12); the cell edges are 6.866, 11.895 and 7.985 Å and the angles 90.00°, 106.67° and 90.00°. The distinct sites, in fractional coordinates, are Pm at (0.204, 0.000, 0.175), Pm at (0.236, 0.323, 0.175), C at (0.000, 0.167, 0.000), S at (0.000, 0.500, 0.000), I at (0.000, 0.000, 0.500) and I at (0.000, 0.336, 0.500).

For the raw total energy, the calculation gives -135.3 eV per cell. The calculation puts the formation energy (no corrections) at -0.9940 eV/atom.

Record 9
A plane-wave DFT calculation with PBE-GGA was carried out for a relaxed Pm6C2S3I crystal.

The structure belongs to space group C2/m (No. 12); the cell edges are 17.467, 3.938 and 8.296 Å and the angles 90.00°, 101.21° and 90.00°. The distinct sites, in fractional coordinates, are Pm at (0.025, 0.000, 0.293), Pm at (0.175, 0.500, 0.568), Pm at (0.182, 0.500, 0.136), C at (0.172, 0.000, 0.338), S at (0.000, 0.500, 0.500), S at (0.158, 0.000, 0.838) and I at (0.000, 0.500, 0.000).

For the raw total energy, the calculation gives -151.2 eV per cell. The calculation puts the formation energy (no corrections) at -1.2248 eV/atom.

Record 10
A plane-wave DFT calculation with PBE-GGA was carried out for a relaxed Pm8CS3I4 crystal.

The structure belongs to space group R-3m (No. 166, hexagonal axes); the cell edges are 8.1614, 8.1614 and 22.8020 Å and the angles 90.00°, 90.00° and 120.00°. The distinct sites, in fractional coordinates, are Pm at (0.0000, 0.0000, 0.2283), Pm at (0.0247, 0.5123, 0.2264), C at (0.0000, 0.0000, 0.5000), S at (0.0000, 0.5000, 0.5000), I at (0.0000, 0.0000, 0.0000) and I at (0.0000, 0.5000, 0.0000).

For the raw total energy, the calculation gives -259.1 eV per cell. The calculation puts the formation energy (no corrections) at -1.2842 eV/atom.

Record 11
A plane-wave DFT calculation with PBE-GGA was carried out for a relaxed Pm6C3S2I crystal.

The structure belongs to space group C2/m (No. 12); the cell edges are 17.713, 3.872 and 8.194 Å and the angles 90.00°, 107.76° and 90.00°. The distinct sites, in fractional coordinates, are Pm at (0.012, 0.000, 0.209), Pm at (0.161, 0.500, 0.100), Pm at (0.183, 0.500, 0.566), C at (0.000, 0.500, 0.000), C at (0.168, 0.000, 0.330), S at (0.165, 0.000, 0.829) and I at (0.000, 0.500, 0.500).

For the raw total energy, the calculation gives -155.0 eV per cell. The calculation puts the formation energy (no corrections) at -0.9580 eV/atom.

Record 12
A plane-wave DFT calculation with PBE-GGA was carried out for a relaxed PmScCI crystal.

The structure belongs to space group R3m (No. 160, hexagonal axes); the cell edges are 3.7060, 3.7060 and 21.9723 Å and the angles 90.00°, 90.00° and 120.00°. The distinct sites, in fractional coordinates, are Pm at (0.0000, 0.0000, 0.0000), Sc at (0.0000, 0.0000, 0.7791), C at (0.0000, 0.0000, 0.3998) and I at (0.0000, 0.0000, 0.2162).

For the raw total energy, the calculation gives -73.9 eV per cell. The calculation puts the formation energy (no corrections) at -0.6973 eV/atom.

Record 13
A plane-wave DFT calculation with PBE-GGA was carried out for a relaxed Pm2ScC2I2 crystal.

The structure belongs to space group I4/mmm (No. 139); the cell edges are 4.302, 4.302 and 20.558 Å and the angles 90.00°, 90.00° and 90.00°. The distinct sites, in fractional coordinates, are Pm at (0.000, 0.000, 0.077), Sc at (0.000, 0.000, 0.500), C at (0.000, 0.500, 0.000) and I at (0.000, 0.000, 0.342).

For the raw total energy, the calculation gives -83.8 eV per cell. The calculation puts the formation energy (no corrections) at -0.6429 eV/atom.

Record 14
A plane-wave DFT calculation with PBE-GGA was carried out for a relaxed Pm8C3SeI4 crystal.

The structure belongs to space group R-3m (No. 166, hexagonal axes); the cell edges are 7.9690, 7.9690 and 23.0051 Å and the angles 90.00°, 90.00° and 120.00°. The distinct sites, in fractional coordinates, are Pm at (0.0000, 0.0000, 0.2244), Pm at (0.0297, 0.5148, 0.7745), C at (0.0000, 0.5000, 0.5000), Se at (0.0000, 0.0000, 0.5000), I at (0.0000, 0.0000, 0.0000) and I at (0.0000, 0.5000, 0.0000).

For the raw total energy, the calculation gives -268.3 eV per cell. The calculation puts the formation energy (no corrections) at -0.8791 eV/atom.

Record 15
A plane-wave DFT calculation with PBE-GGA was carried out for a relaxed Pm6C3Se2I crystal.

The structure belongs to space group C2/m (No. 12); the cell edges are 18.019, 3.896 and 8.352 Å and the angles 90.00°, 108.80° and 90.00°. The distinct sites, in fractional coordinates, are Pm at (0.013, 0.000, 0.209), Pm at (0.159, 0.500, 0.106), Pm at (0.182, 0.500, 0.559), C at (0.000, 0.500, 0.000), C at (0.168, 0.000, 0.331), Se at (0.164, 0.000, 0.828) and I at (0.000, 0.500, 0.500).

For the raw total energy, the calculation gives -151.4 eV per cell. The calculation puts the formation energy (no corrections) at -0.9183 eV/atom.

Record 16
A plane-wave DFT calculation with PBE-GGA was carried out for a relaxed Pm6Si2CI3 crystal.

The structure belongs to space group C2/m (No. 12); the cell edges are 7.209, 12.471 and 8.076 Å and the angles 90.00°, 107.26° and 90.00°. The distinct sites, in fractional coordinates, are Pm at (0.214, 0.153, 0.185), Pm at (0.243, 0.000, 0.813), Si at (0.000, 0.334, 0.000), C at (0.000, 0.000, 0.000), I at (0.000, 0.172, 0.500) and I at (0.000, 0.500, 0.500).

For the raw total energy, the calculation gives -126.8 eV per cell. The calculation puts the formation energy (no corrections) at -0.8500 eV/atom.

Record 17
A plane-wave DFT calculation with PBE-GGA was carried out for a relaxed Pm4SiCI2 crystal.

The structure belongs to space group P2/m (No. 10); the cell edges are 7.132, 4.065 and 8.078 Å and the angles 90.00°, 107.01° and 90.00°. The distinct sites, in fractional coordinates, are Pm at (0.203, 0.000, 0.177), Pm at (0.242, 0.500, 0.814), Si at (0.500, 0.000, 0.000), C at (0.000, 0.500, 0.000), I at (0.000, 0.000, 0.500) and I at (0.500, 0.500, 0.500).

For the raw total energy, the calculation gives -43.1 eV per cell. The calculation puts the formation energy (no corrections) at -0.7987 eV/atom.

Record 18
A plane-wave DFT calculation with PBE-GGA was carried out for a relaxed PmSmCI crystal.

The structure belongs to space group R3m (No. 160, hexagonal axes); the cell edges are 3.8468, 3.8468 and 23.0715 Å and the angles 90.00°, 90.00° and 120.00°. The distinct sites, in fractional coordinates, are Pm at (0.0000, 0.0000, 0.0000), Sm at (0.0000, 0.0000, 0.7822), C at (0.0000, 0.0000, 0.3929) and I at (0.0000, 0.0000, 0.2234).

For the raw total energy, the calculation gives -69.3 eV per cell. The calculation puts the formation energy (no corrections) at -0.7101 eV/atom.

Record 19
A plane-wave DFT calculation with PBE-GGA was carried out for a relaxed TbPmCI crystal.

The structure belongs to space group R3m (No. 160, hexagonal axes); the cell edges are 3.8150, 3.8150 and 22.7780 Å and the angles 90.00°, 90.00° and 120.00°. The distinct sites, in fractional coordinates, are Tb at (0.0000, 0.0000, 0.0000), Pm at (0.0000, 0.0000, 0.7816), C at (0.0000, 0.0000, 0.3865) and I at (0.0000, 0.0000, 0.5601).

For the raw total energy, the calculation gives -69.2 eV per cell. The calculation puts the formation energy (no corrections) at -0.7280 eV/atom.

Record 20
A plane-wave DFT calculation with PBE-GGA was carried out for a relaxed Pm4TeCI2 crystal.

The structure belongs to space group P2/m (No. 10); the cell edges are 7.657, 4.065 and 7.956 Å and the angles 90.00°, 107.10° and 90.00°. The distinct sites, in fractional coordinates, are Pm at (0.185, 0.000, 0.180), Pm at (0.204, 0.500, 0.809), Te at (0.500, 0.000, 0.000), C at (0.000, 0.500, 0.000), I at (0.000, 0.000, 0.500) and I at (0.500, 0.500, 0.500).

For the raw total energy, the calculation gives -41.9 eV per cell. The calculation puts the formation energy (no corrections) at -0.9270 eV/atom.